Entry 1:
First-principles (PBE) data for an optimized crystal structure of Pm4SmEr15, as listed in the Alexandria database.

CIF file:
```
data_Pm4SmEr15
_chemical_formula_sum 'Pm4 Sm1 Er15'
_cell_length_a 5.0119
_cell_length_b 5.0119
_cell_length_c 24.9653
_cell_angle_alpha 90.00
_cell_angle_beta 90.00
_cell_angle_gamma 90.00
_symmetry_space_group_name_H-M 'P 4/m m m'
_symmetry_Int_Tables_number 123
_symmetry_space_group_name_Hall '-P 4 2'
loop_
_atom_site_label
_atom_site_type_symbol
_atom_site_fract_x
_atom_site_fract_y
_atom_site_fract_z
Pm1 Pm 0.0000 0.0000 0.1000
Pm2 Pm 0.0000 0.0000 0.3000
Sm1 Sm 0.0000 0.0000 0.5000
Er1 Er 0.0000 0.5000 0.0000
Er2 Er 0.0000 0.5000 0.2000
Er3 Er 0.0000 0.5000 0.4002
Er4 Er 0.5000 0.5000 0.1000
Er5 Er 0.5000 0.5000 0.3001
Er6 Er 0.5000 0.5000 0.5000
```

Results
E: -4.586 eV per atom
V: 31.36 Å³/atom
energy of formation from the pure elements: 0.022 eV per atom


Entry 2:
First-principles (PBE) data for an optimized crystal structure of Pm12Sm6Er, as listed in the Alexandria database.

CIF file:
```
data_Pm12Sm6Er
_chemical_formula_sum 'Pm36 Sm18 Er3'
_cell_length_a 12.2028
_cell_length_b 12.2028
_cell_length_c 15.2859
_cell_angle_alpha 90.00
_cell_angle_beta 90.00
_cell_angle_gamma 120.00
_symmetry_space_group_name_H-M 'R -3'
_symmetry_Int_Tables_number 148
_symmetry_space_group_name_Hall '-R 3'
loop_
_atom_site_label
_atom_site_type_symbol
_atom_site_fract_x
_atom_site_fract_y
_atom_site_fract_z
Pm1 Pm 0.0038 0.1732 0.1903
Pm2 Pm 0.0469 0.1955 0.4165
Sm1 Sm 0.0138 0.5900 0.6855
Er1 Er 0.0000 0.0000 0.0000
```

Results
E: -4.597 eV per atom
V: 34.58 Å³/atom
energy of formation from the pure elements: 0.134 eV per atom


Entry 3:
First-principles (PBE) data for an optimized crystal structure of PmSm2Er12, as listed in the Alexandria database.

CIF file:
```
data_PmSm2Er12
_chemical_formula_sum 'Pm4 Sm8 Er48'
_cell_length_a 7.0828
_cell_length_b 11.1711
_cell_length_c 24.0304
_cell_angle_alpha 90.00
_cell_angle_beta 94.11
_cell_angle_gamma 90.00
_symmetry_space_group_name_H-M 'C 1 2/m 1'
_symmetry_Int_Tables_number 12
_symmetry_space_group_name_Hall '-C 2y'
loop_
_atom_site_label
_atom_site_type_symbol
_atom_site_fract_x
_atom_site_fract_y
_atom_site_fract_z
Pm1 Pm 0.2493 0.0000 0.0000
Sm1 Sm 0.0710 0.0000 0.2810
Sm2 Sm 0.0715 0.5000 0.2820
Er1 Er 0.0170 0.2510 0.0675
Er2 Er 0.0329 0.0000 0.1363
Er3 Er 0.0332 0.5000 0.1374
Er4 Er 0.1119 0.2508 0.4450
Er5 Er 0.1414 0.0000 0.5726
Er6 Er 0.1429 0.5000 0.5721
Er7 Er 0.1662 0.2501 0.6696
Er8 Er 0.2026 0.2500 0.8071
```

Results
E: -4.488 eV per atom
V: 31.61 Å³/atom
energy of formation from the pure elements: 0.108 eV per atom


Entry 4:
First-principles (PBE) data for an optimized crystal structure of Pm4Sm7Er, as listed in the Alexandria database.

CIF file:
```
data_Pm4Sm7Er
_chemical_formula_sum 'Pm4 Sm7 Er1'
_cell_length_a 6.3213
_cell_length_b 7.3041
_cell_length_c 9.0324
_cell_angle_alpha 89.95
_cell_angle_beta 76.50
_cell_angle_gamma 90.00
_symmetry_space_group_name_H-M 'P -1'
_symmetry_Int_Tables_number 2
_symmetry_space_group_name_Hall '-P 1'
loop_
_atom_site_label
_atom_site_type_symbol
_atom_site_fract_x
_atom_site_fract_y
_atom_site_fract_z
Pm1 Pm 0.2224 0.2516 0.3307
Pm2 Pm 0.2764 0.9998 0.6673
Sm1 Sm 0.9997 0.2512 0.9997
Sm2 Sm 0.2224 0.7492 0.3307
Sm3 Sm 0.2788 0.4995 0.6676
Sm4 Sm 0.5000 0.0000 0.0000
Er1 Er 0.5000 0.5000 0.0000
```

Results
E: -4.705 eV per atom
V: 33.79 Å³/atom
ΔE to the lowest computed polymorph: 0.000 eV per atom
energy of formation from the pure elements: 0.011 eV per atom


Entry 5:
First-principles (PBE) data for an optimized crystal structure of Pm5Sm2Er, as listed in the Alexandria database.

CIF file:
```
data_Pm5Sm2Er
_chemical_formula_sum 'Pm20 Sm8 Er4'
_cell_length_a 11.7736
_cell_length_b 6.1726
_cell_length_c 15.9473
_cell_angle_alpha 90.00
_cell_angle_beta 110.87
_cell_angle_gamma 90.00
_symmetry_space_group_name_H-M 'P 1 21/c 1'
_symmetry_Int_Tables_number 14
_symmetry_space_group_name_Hall '-P 2ybc'
loop_
_atom_site_label
_atom_site_type_symbol
_atom_site_fract_x
_atom_site_fract_y
_atom_site_fract_z
Pm1 Pm 0.0609 0.0297 0.1212
Pm2 Pm 0.1896 0.1072 0.3750
Pm3 Pm 0.2506 0.6219 0.5010
Pm4 Pm 0.3086 0.1095 0.6236
Pm5 Pm 0.3756 0.5691 0.7544
Sm1 Sm 0.1274 0.5714 0.2459
Sm2 Sm 0.4375 0.0299 0.8797
Er1 Er 0.0000 0.0000 0.5000
Er2 Er 0.5000 0.0000 0.5000
```

Results
E: -4.650 eV per atom
V: 33.84 Å³/atom
ΔE to the lowest computed polymorph: 0.000 eV per atom
energy of formation from the pure elements: 0.069 eV per atom


Entry 6:
First-principles (PBE) data for an optimized crystal structure of Pm2Sm7Er2, as listed in the Alexandria database.

CIF file:
```
data_Pm2Sm7Er2
_chemical_formula_sum 'Pm4 Sm14 Er4'
_cell_length_a 11.3355
_cell_length_b 11.6085
_cell_length_c 6.1317
_cell_angle_alpha 90.00
_cell_angle_beta 112.60
_cell_angle_gamma 90.00
_symmetry_space_group_name_H-M 'C 1 2/m 1'
_symmetry_Int_Tables_number 12
_symmetry_space_group_name_Hall '-C 2y'
loop_
_atom_site_label
_atom_site_type_symbol
_atom_site_fract_x
_atom_site_fract_y
_atom_site_fract_z
Pm1 Pm 0.0000 0.2138 0.0000
Sm1 Sm 0.0000 0.0000 0.5000
Sm2 Sm 0.0862 0.5000 0.3061
Sm3 Sm 0.1764 0.2358 0.6760
Er1 Er 0.2333 0.0000 0.0814
```

Results
E: -4.548 eV per atom
V: 33.86 Å³/atom
ΔE to the lowest computed polymorph: 0.047 eV per atom
energy of formation from the pure elements: 0.148 eV per atom


> The highest energy of formation from the pure elements belongs to which entry?

Pm2Sm7Er2